{
  "formula": "Er5Tl2Sb2",
  "functional": "GGA-PBE",
  "state": "relaxed",
  "lattice_angstrom": [[8.0589, 0.0000, 0.0000], [0.0000, 7.1771, -3.6895], [0.0000, -0.0457, 8.7366]],
  "species": ["Er", "Er", "Er", "Er", "Er", "Er", "Er", "Er", "Er", "Er", "Tl", "Tl", "Tl", "Tl", "Sb", "Sb", "Sb", "Sb"],
  "frac_coords": [[0.0000, 0.0000, 0.0000], [0.5000, 0.5000, 0.0000], [0.8357, 0.8059, 0.2758], [0.1643, 0.4699, 0.2758], [0.3357, 0.9699, 0.2758], [0.6643, 0.3059, 0.2758], [0.1643, 0.1941, 0.7242], [0.8357, 0.5301, 0.7242], [0.6643, 0.0301, 0.7242], [0.3357, 0.6941, 0.7242], [0.6326, 0.8658, 0.0000], [0.3674, 0.1342, 0.0000], [0.1326, 0.6342, 0.0000], [0.8674, 0.3658, 0.0000], [0.0000, 0.2028, 0.4056], [0.5000, 0.7028, 0.4056], [0.0000, 0.7972, 0.5944], [0.5000, 0.2972, 0.5944]],
  "raw_formation_energy_ev_per_fu": -6.07,
  "rho_g_cm3": 9.810,
  "volume_a3_per_cell": 504.0,
  "dft_energy_ev_per_atom": -4.65,
  "m_tot_mub_per_cell": 0.00
}